Density functional theory data (PBE) for a geometry-optimized PmLuAs2 structure.

abc: 5.0759 5.0759 5.0759
angles: 60.00 60.00 60.00
Sites, in units of the cell vectors:
As: 0.7500 0.7500 0.7500
Pm: 0.0000 0.0000 0.0000
As: 0.2500 0.2500 0.2500
Lu: 0.5000 0.5000 0.5000

Output
ΔE_f = -97 kJ/mol of atoms
density of states at the Fermi level = 1.9 states/eV per cell
space-group type = Fm-3m
V = 92.5 Å³/cell